(1)
NaAg6Sb4, optimized geometry, DFT PBE-GGA; total DFT energy (no corrections) = -3.1062 eV/atom
1.0
-3.475 3.475 5.531
3.475 -3.475 5.531
3.475 3.475 -5.531
Na Ag Sb
1 6 4
Cartesian
0.000 0.000 0.000 Na
3.475 0.000 0.000 Ag
2.330 2.330 -1.252 Ag
1.144 -1.144 6.782 Ag
0.000 3.475 0.000 Ag
1.144 1.144 4.279 Ag
-1.144 1.144 6.782 Ag
1.614 -1.614 3.879 Sb
1.861 1.861 1.652 Sb
-1.614 1.614 3.879 Sb
1.614 1.614 7.182 Sb



(2)
Tl2Pd7Pt2, optimized geometry, DFT PBE-GGA; total DFT energy (no corrections) = -4.5923 eV/atom; calculated formation energy = 0.24 eV per atom; ΔE to the lowest computed polymorph = 251 meV per atom
1.0
3.461 -4.480 0.000
3.461 4.480 0.000
0.000 0.000 6.950
Tl Pd Pt
2 7 2
Cartesian
3.461 2.719 0.000 Tl
3.461 -2.719 0.000 Tl
0.000 0.000 2.090 Pd
0.000 0.000 4.859 Pd
1.730 2.240 2.087 Pd
1.730 2.240 4.862 Pd
1.730 -2.240 2.087 Pd
1.730 -2.240 4.862 Pd
3.461 0.000 0.000 Pd
2.245 0.000 3.475 Pt
4.677 0.000 3.475 Pt



(3)
Tm4InRu2, optimized geometry, DFT PBE-GGA; total DFT energy (no corrections) = -5.9326 eV/atom; calculated formation energy = -0.34 eV per atom; ΔE to the lowest computed polymorph = 0 meV per atom
1.0
4.813 0.000 0.000
0.000 4.813 0.000
0.000 0.000 7.014
Tm In Ru
4 1 2
Cartesian
0.000 2.406 1.660 Tm
0.000 2.406 5.354 Tm
2.406 0.000 1.660 Tm
2.406 0.000 5.354 Tm
0.000 0.000 3.507 In
0.000 0.000 0.000 Ru
2.406 2.406 3.507 Ru



(4)
AcGa3Pt3, optimized geometry, DFT PBE-GGA; total DFT energy (no corrections) = -5.2293 eV/atom; calculated formation energy = -0.76 eV per atom; ΔE to the lowest computed polymorph = 0 meV per atom
1.0
9.111 0.000 0.000
-4.555 7.890 0.000
0.000 0.000 4.409
Ac Ga Pt
2 6 6
Cartesian
0.000 5.260 1.102 Ac
4.555 2.630 3.307 Ac
-0.974 2.599 3.307 Ga
-1.817 7.434 3.307 Ga
1.764 2.143 1.102 Ga
2.791 5.747 3.307 Ga
6.373 0.456 1.102 Ga
5.529 5.291 1.102 Ga
-2.390 4.972 3.307 Pt
1.444 3.334 3.307 Pt
3.610 0.417 1.102 Pt
0.946 7.473 3.307 Pt
3.111 4.556 1.102 Pt
6.945 2.918 1.102 Pt



(5)
Ca2Be2W, optimized geometry, DFT PBE-GGA; total DFT energy (no corrections) = -4.1832 eV/atom; calculated formation energy = 0.70 eV per atom; ΔE to the lowest computed polymorph = 0 meV per atom
1.0
6.434 0.000 0.000
0.000 6.434 0.000
0.000 0.000 4.656
Ca Be W
4 4 2
Cartesian
1.167 2.050 0.000 Ca
2.050 5.267 0.000 Ca
4.384 1.167 0.000 Ca
5.267 4.384 0.000 Ca
0.854 4.071 2.328 Be
2.363 0.854 2.328 Be
4.071 5.580 2.328 Be
5.580 2.363 2.328 Be
0.000 0.000 2.328 W
3.217 3.217 2.328 W



(6)
TaSnBiRu, optimized geometry, DFT PBE-GGA; total DFT energy (no corrections) = -7.2586 eV/atom; calculated formation energy = -0.01 eV per atom; ΔE to the lowest computed polymorph = 38 meV per atom
1.0
3.180 0.000 0.000
0.000 3.180 0.000
0.083 0.016 8.624
Ta Sn Bi Ru
1 1 1 1
Cartesian
0.000 0.000 0.000 Ta
1.591 1.591 2.137 Sn
0.099 0.019 5.150 Bi
1.672 1.605 7.177 Ru



(7)
LiCeCdAu, optimized geometry, DFT PBE-GGA; total DFT energy (no corrections) = -3.3542 eV/atom; calculated formation energy = -0.34 eV per atom; ΔE to the lowest computed polymorph = 48 meV per atom
1.0
0.000 3.575 3.575
3.575 0.000 3.575
3.575 3.575 0.000
Li Ce Cd Au
1 1 1 1
Cartesian
0.000 0.000 0.000 Li
3.575 3.575 3.575 Ce
1.788 1.788 1.788 Cd
5.363 5.363 5.363 Au



(8)
LiPuHgGe, optimized geometry, DFT PBE-GGA; total DFT energy (no corrections) = -5.5718 eV/atom; calculated formation energy = -0.28 eV per atom
1.0
0.000 3.521 3.521
3.521 0.000 3.521
3.521 3.521 0.000
Li Pu Hg Ge
1 1 1 1
Cartesian
0.000 0.000 0.000 Li
3.521 3.521 3.521 Pu
5.281 5.281 5.281 Hg
1.760 1.760 1.760 Ge



> Which of these has the highest total DFT energy (no corrections)?

NaAg6Sb4